A | Here is an optimized crystal structure of TbPm8Er2 from Alexandria. Energies are from PBE.

Calculated values
DOS(E_F)   31.26 states/eV/cell
Spin magnetization   0.00 μB per atom

Lattice parameters (Å, degrees): 14.2509 6.7632 8.5922 90.00 114.25 90.00
Closest atoms and distances in Å follow each position.
Space group C2/m (No. 12)
One atom of each set of equivalent atoms:
Tb1 0.0000 0.0000 0.0000 (multiplicity 2)  10 Pm 3.39-3.73, 2 Er 3.49
Pm1 0.0921 0.2590 0.3826 (multiplicity 8)  4 Pm 3.26-3.64, 2 Er 3.46-3.55, 1 Tb 3.47
Pm2 0.1086 0.5000 0.9933 (multiplicity 4)  2 Pm 3.14-3.16, 1 Er 3.28
Pm3 0.2407 0.5000 0.7748 (multiplicity 4)  1 Pm 3.16, 1 Tb 3.39
Er1 0.1449 0.0000 0.7572 (multiplicity 4)  8 Pm 3.28-3.67, 1 Tb 3.49

---

B | Here is an optimized crystal structure of TbPm8Er2 from Alexandria. Energies are from PBE.

Calculated values
DOS(E_F)   35.85 states/eV/cell
Spin magnetization   0.00 μB per atom

Lattice parameters (Å, degrees): 16.7947 6.7627 6.6925 90.00 100.11 90.00
Closest atoms and distances in Å follow each position.
Space group C2/m (No. 12)
One atom of each set of equivalent atoms:
Tb1 0.0000 0.0000 0.0000 (multiplicity 2)  4 Pm 3.36
Pm1 0.0876 0.2618 0.4058 (multiplicity 8)  5 Pm 3.22-3.54, 1 Tb 3.36, 1 Er 3.47
Pm2 0.0934 0.5000 0.9122 (multiplicity 4)  8 Pm 3.36-3.75, 1 Er 3.67
Pm3 0.2446 0.0000 0.3190 (multiplicity 4)  5 Pm 3.31-3.48, 4 Er 3.38-3.65
Er1 0.1985 0.0000 0.8064 (multiplicity 4)  7 Pm 3.38-3.67, 1 Tb 3.78

---

The computed energies, referenced to the most stable structure and given in meV per atom, are A 39; B 0.

---

A | Here is an optimized crystal structure of Tb2Pm5Er4 from Alexandria. Energies are from PBE.

Calculated values
DOS(E_F)   30.70 states/eV/cell
Spin magnetization   0.00 μB per atom

Lattice parameters (Å, degrees): 17.6064 3.5390 11.5932 90.00 94.01 90.00
Closest atoms and distances in Å follow each position.
Space group C2/m (No. 12)
One atom of each set of equivalent atoms:
Tb1 0.2161 0.0000 0.3514 (multiplicity 4)  5 Pm 3.47-3.74, 2 Tb 3.54, 4 Er 3.61-3.74
Pm1 0.0000 0.0000 0.0000 (multiplicity 2)  6 Er 3.50-3.54, 6 Pm 3.54-3.62
Pm2 0.0962 0.5000 0.5350 (multiplicity 4)  4 Er 3.31-3.54, 3 Pm 3.43-3.54, 3 Tb 3.47-3.57
Pm3 0.1764 0.5000 0.0695 (multiplicity 4)  4 Er 3.44-3.65, 6 Pm 3.54-3.62, 2 Tb 3.74
Er1 0.0345 0.5000 0.2589 (multiplicity 4)  5 Pm 3.31-3.50, 4 Er 3.54-3.57
Er2 0.1403 0.0000 0.7952 (multiplicity 4)  6 Pm 3.49-3.65, 4 Er 3.54-3.57, 2 Tb 3.61

---

B | Here is an optimized crystal structure of Tb2Pm5Er4 from Alexandria. Energies are from PBE.

Calculated values
DOS(E_F)   34.08 states/eV/cell
Spin magnetization   0.00 μB per atom

Lattice parameters (Å, degrees): 3.5157 9.0884 23.4387 90.00 90.00 90.00
Closest atoms and distances in Å follow each position.
Space group Immm (No. 71)
One atom of each set of equivalent atoms:
Tb1 0.0000 0.0000 0.2308 (multiplicity 4)  1 Er 3.15, 2 Pm 3.43, 2 Tb 3.52
Pm1 0.0000 0.2003 0.3547 (multiplicity 8)  3 Tb 3.43-3.81, 3 Er 3.44-3.56, 3 Pm 3.52-3.64
Pm2 0.0000 0.5000 0.0000 (multiplicity 2)  4 Er 3.35, 2 Pm 3.52
Er1 0.0000 0.0000 0.0966 (multiplicity 4)  1 Tb 3.15, 6 Er 3.33-3.52, 4 Pm 3.44
Er2 0.0000 0.3138 0.5000 (multiplicity 4)  7 Er 3.33-3.52, 4 Pm 3.35-3.56

---

The computed energies, referenced to the most stable structure and given in meV per atom, are A 0; B 123.

---

A | Here is an optimized crystal structure of TbPm4Er from Alexandria. Energies are from PBE.

Calculated values
DOS(E_F)   39.01 states/eV/cell
Spin magnetization   0.00 μB per atom

Lattice parameters (Å, degrees): 9.3997 9.3997 9.3997 90.00 90.00 90.00
Closest atoms and distances in Å follow each position.
Space group F-43m (No. 216)
One atom of each set of equivalent atoms:
Tb1 0.0000 0.0000 0.0000 (multiplicity 4)  12 Pm 3.90, 4 Er 4.07
Pm1 0.1248 0.1248 0.6248 (multiplicity 16)  6 Pm 3.32-3.33
Er1 0.2500 0.2500 0.2500 (multiplicity 4)  12 Pm 3.90, 4 Tb 4.07

---

B | Here is an optimized crystal structure of TbPm4Er from Alexandria. Energies are from PBE.

Calculated values
DOS(E_F)   23.23 states/eV/cell
Spin magnetization   0.00 μB per atom

Lattice parameters (Å, degrees): 11.1275 5.9935 5.9991 90.00 90.11 90.00
Closest atoms and distances in Å follow each position.
Space group C2/m (No. 12)
One atom of each set of equivalent atoms:
Tb1 0.0000 0.0000 0.0000 (multiplicity 2)  10 Pm 3.43-3.76
Pm1 0.1621 0.0000 0.4875 (multiplicity 4)  2 Tb 3.43-3.57, 3 Er 3.50-3.76, 5 Pm 3.58-3.61
Pm2 0.1618 0.5000 0.0134 (multiplicity 4)  2 Er 3.43-3.56, 3 Tb 3.50-3.76, 5 Pm 3.58-3.60
Er1 0.0000 0.5000 0.5000 (multiplicity 2)  10 Pm 3.43-3.76

---

The computed energies, referenced to the most stable structure and given in meV per atom, are A 154; B 0.

---

A | Here is an optimized crystal structure of Tb3PmEr3 from Alexandria. Energies are from PBE.

Calculated values
DOS(E_F)   69.38 states/eV/cell
Spin magnetization   0.00 μB per atom

Lattice parameters (Å, degrees): 8.6088 8.6088 21.6766 90.00 90.00 120.00
Closest atoms and distances in Å follow each position.
Space group R-3 (No. 148, hexagonal axes)
One atom of each set of equivalent atoms:
Tb1 0.0043 0.2331 0.0597 (multiplicity 18)  4 Er 3.24-3.62, 4 Tb 3.26-3.44, 1 Pm 3.50
Pm1 0.0000 0.0000 0.3504 (multiplicity 6)  6 Tb 3.50-3.80, 6 Er 3.68-3.75
Er1 0.0586 0.2747 0.2128 (multiplicity 18)  4 Tb 3.24-3.62, 2 Er 3.61

---

B | Here is an optimized crystal structure of Tb3PmEr3 from Alexandria. Energies are from PBE.

Calculated values
DOS(E_F)   28.29 states/eV/cell
Spin magnetization   0.00 μB per atom

Lattice parameters (Å, degrees): 9.5582 9.5582 5.6605 90.00 90.00 120.00
Closest atoms and distances in Å follow each position.
Space group P6_3/m (No. 176)
One atom of each set of equivalent atoms:
Tb1 0.0490 0.8106 0.2500 (multiplicity 6)  6 Tb 3.52-3.61, 5 Er 3.52-3.63, 1 Pm 3.61
Pm1 0.3333 0.6667 0.2500 (multiplicity 2)  9 Er 3.51-3.61, 3 Tb 3.61
Er1 0.0956 0.6187 0.7500 (multiplicity 6)  3 Pm 3.51-3.61, 4 Er 3.51-3.60, 5 Tb 3.52-3.63

---

The computed energies, referenced to the most stable structure and given in meV per atom, are A 224; B 0.